[1]
# La2AlNiBi | the Alexandria database | PBE | optimized geometry
# Energy of formation (meV/atom): -585
data_La2AlNiBi
_chemical_formula_sum 'La2 Al1 Ni1 Bi1'
_cell_length_a 5.448
_cell_length_b 5.448
_cell_length_c 4.645
_cell_angle_alpha 90.00
_cell_angle_beta 90.00
_cell_angle_gamma 90.00
_space_group_name_H-M_alt 'P 4/m m m'
_space_group_IT_number 123
_space_group_name_Hall '-P 4 2'
loop_
_atom_site_label
_atom_site_type_symbol
_atom_site_fract_x
_atom_site_fract_y
_atom_site_fract_z
La1 La 0.000 0.500 0.000
Al1 Al 0.000 0.000 0.500
Ni1 Ni 0.000 0.000 0.000
Bi1 Bi 0.500 0.500 0.500

***

[2]
# LaAlBiO2 | the Alexandria database | PBE | optimized geometry
# Formation energy from raw total energies (eV per formula unit): -2.523
data_LaAlBiO2
_chemical_formula_sum 'La1 Al1 Bi1 O2'
_cell_length_a 4.084
_cell_length_b 4.084
_cell_length_c 7.556
_cell_angle_alpha 90.00
_cell_angle_beta 90.00
_cell_angle_gamma 90.00
_space_group_name_H-M_alt 'P 4/m m m'
_space_group_IT_number 123
_space_group_name_Hall '-P 4 2'
loop_
_atom_site_label
_atom_site_type_symbol
_atom_site_fract_x
_atom_site_fract_y
_atom_site_fract_z
La1 La 0.000 0.000 0.000
Al1 Al 0.000 0.000 0.500
Bi1 Bi 0.500 0.500 0.000
O1 O 0.000 0.500 0.500

***

[3]
# La2AlBiO | the Alexandria database | PBE | optimized geometry
# Formation energy from raw total energies (eV per formula unit): 2.485
data_La2AlBiO
_chemical_formula_sum 'La2 Al1 Bi1 O1'
_cell_length_a 6.153
_cell_length_b 6.153
_cell_length_c 5.039
_cell_angle_alpha 90.00
_cell_angle_beta 90.00
_cell_angle_gamma 90.00
_space_group_name_H-M_alt 'P 4/m m m'
_space_group_IT_number 123
_space_group_name_Hall '-P 4 2'
loop_
_atom_site_label
_atom_site_type_symbol
_atom_site_fract_x
_atom_site_fract_y
_atom_site_fract_z
La1 La 0.000 0.500 0.000
Al1 Al 0.000 0.000 0.500
Bi1 Bi 0.000 0.000 0.000
O1 O 0.500 0.500 0.500

***

[4]
# La2AlBiP | the Alexandria database | PBE | optimized geometry
# Energy of formation (meV/atom): 161
data_La2AlBiP
_chemical_formula_sum 'La2 Al1 Bi1 P1'
_cell_length_a 5.820
_cell_length_b 5.820
_cell_length_c 4.981
_cell_angle_alpha 90.00
_cell_angle_beta 90.00
_cell_angle_gamma 90.00
_space_group_name_H-M_alt 'P 4/m m m'
_space_group_IT_number 123
_space_group_name_Hall '-P 4 2'
loop_
_atom_site_label
_atom_site_type_symbol
_atom_site_fract_x
_atom_site_fract_y
_atom_site_fract_z
La1 La 0.000 0.500 0.000
Al1 Al 0.000 0.000 0.000
Bi1 Bi 0.000 0.000 0.500
P1 P 0.500 0.500 0.500